## AcPa2NiO8 (GGA+U)

Data for AcPa2NiO8 after structural relaxation.

abc: 5.1937 5.1937 6.6879
angles: 90.00 90.00 120.00
With the nearest neighbours (Å) after each atom.
Space group P-3m1 (No. 164)
Symmetry-distinct sites (fractional):
Ac 0.0000 0.0000 0.0000 (multiplicity 1)  12 O 2.73-3.05
Pa 0.3333 0.6667 0.3742 (multiplicity 2)  1 O 1.94
Ni 0.0000 0.0000 0.5000 (multiplicity 1)  6 O 1.89
O 0.1717 0.3434 0.6638 (multiplicity 6)  1 Ni 1.89
O 0.3333 0.6667 0.0841 (multiplicity 2)  1 Pa 1.94

=====

## AcPaNi2O6 (GGA+U)

Data for AcPaNi2O6 after structural relaxation.

abc: 5.7442 5.7485 10.1824
angles: 90.00 121.93 90.00
With the nearest neighbours (Å) after each atom.
Space group P2_1/c (No. 14)
Symmetry-distinct sites (fractional):
Ac 0.0000 0.0000 0.0000 (multiplicity 2)  6 O 2.40-2.66
Pa 0.5000 0.0000 0.5000 (multiplicity 2)  6 O 2.12-2.36
Ni 0.2062 0.0070 0.7379 (multiplicity 4)  4 O 1.98-2.06
O 0.1211 0.1596 0.2744 (multiplicity 4)  2 Ni 2.05-2.06
O 0.2416 0.6353 0.0726 (multiplicity 4)  1 Ni 1.98, 1 Pa 2.12
O 0.4842 0.1803 0.1027 (multiplicity 4)  1 Ni 1.98, 1 Pa 2.14

=====

Number 1: M_tot 1.000 μB/f.u., E_tot -97.32 eV for the cell shown. Number 2: M_tot 3.966 μB/f.u., E_tot -145.17 eV for the cell shown.